## SrHI (PBEsol)

Data for SrHI after structural relaxation.

The calculation puts the magnetization at 0.0000 μB per atom. The value obtained for the density of states at the Fermi level is 0.0000 states/eV per atom. The total energy comes out at -20.97 eV/cell.

It has space group P4/nmm (No. 129, origin choice 2), with a = 4.289 Å, b = 4.289 Å, c = 8.022 Å, α = 90.00°, β = 90.00° and γ = 90.00°. The distinct sites, in fractional coordinates, are Sr at (0.250, 0.250, 0.158), H at (0.250, 0.750, 0.000) and I at (0.250, 0.250, 0.664).

=====

## Sr2H3I (PBEsol)

Data for Sr2H3I after structural relaxation.

The calculation puts the magnetization at 0.0000 μB per atom. The value obtained for the density of states at the Fermi level is 0.0000 states/eV per atom. The total energy comes out at -20.65 eV/cell.

It has space group P-3m1 (No. 164), with a = 4.1620 Å, b = 4.1620 Å, c = 7.4918 Å, α = 90.00°, β = 90.00° and γ = 120.00°. The distinct sites, in fractional coordinates, are Sr at (0.3333, 0.6667, 0.3195), H at (0.0000, 0.0000, 0.5000), H at (0.3333, 0.6667, 0.6448) and I at (0.0000, 0.0000, 0.0000).

=====

## Sr2ZrHI (PBEsol)

Data for Sr2ZrHI after structural relaxation.

The calculation puts the magnetization at 0.0014 μB per atom. The value obtained for the density of states at the Fermi level is 1.5415 states/eV per atom. The total energy comes out at -14.76 eV/cell.

It has space group P4/mmm (No. 123), with a = 6.185 Å, b = 6.185 Å, c = 5.360 Å, α = 90.00°, β = 90.00° and γ = 90.00°. The distinct sites, in fractional coordinates, are Sr at (0.000, 0.500, 0.000), Zr at (0.000, 0.000, 0.000), H at (0.500, 0.500, 0.500) and I at (0.000, 0.000, 0.500).

=====

## Ta3HI (PBEsol)

Data for Ta3HI after structural relaxation.

The calculation puts the magnetization at 0.2188 μB per atom. The value obtained for the density of states at the Fermi level is 2.1927 states/eV per atom. The total energy comes out at -27.93 eV/cell.

It has space group Pm-3m (No. 221), with a = 4.972 Å, b = 4.972 Å, c = 4.972 Å, α = 90.00°, β = 90.00° and γ = 90.00°. The distinct sites, in fractional coordinates, are Ta at (0.000, 0.000, 0.500), H at (0.500, 0.500, 0.500) and I at (0.000, 0.000, 0.000).

=====

## Ta2HI (PBEsol)

Data for Ta2HI after structural relaxation.

The calculation puts the magnetization at 0.0000 μB per atom. The value obtained for the density of states at the Fermi level is 0.6457 states/eV per atom. The total energy comes out at -111.05 eV/cell.

It has space group I-42d (No. 122), with a = 5.137 Å, b = 5.137 Å, c = 10.466 Å, α = 90.00°, β = 90.00° and γ = 90.00°. The distinct sites, in fractional coordinates, are Ta at (0.080, 0.250, 0.125), H at (0.000, 0.000, 0.000) and I at (0.000, 0.000, 0.500).

=====

## TcTe2HI (PBEsol)

Data for TcTe2HI after structural relaxation.

The calculation puts the magnetization at 0.0942 μB per atom. The value obtained for the density of states at the Fermi level is 0.9223 states/eV per atom. The total energy comes out at -19.19 eV/cell.

It has space group P4/mmm (No. 123), with a = 5.052 Å, b = 5.052 Å, c = 5.800 Å, α = 90.00°, β = 90.00° and γ = 90.00°. The distinct sites, in fractional coordinates, are Tc at (0.000, 0.000, 0.000), Te at (0.000, 0.500, 0.000), H at (0.500, 0.500, 0.500) and I at (0.000, 0.000, 0.500).

=====

## TlTe2HI (PBEsol)

Data for TlTe2HI after structural relaxation.

The calculation puts the magnetization at 0.0000 μB per atom. The value obtained for the density of states at the Fermi level is 0.4931 states/eV per atom. The total energy comes out at -14.08 eV/cell.

It has space group P4/mmm (No. 123), with a = 4.475 Å, b = 4.475 Å, c = 6.982 Å, α = 90.00°, β = 90.00° and γ = 90.00°. The distinct sites, in fractional coordinates, are Tl at (0.000, 0.000, 0.000), Te at (0.000, 0.500, 0.500), H at (0.500, 0.500, 0.500) and I at (0.500, 0.500, 0.000).

=====

## Tl3HI (PBEsol)

Data for Tl3HI after structural relaxation.

The calculation puts the magnetization at 0.0000 μB per atom. The value obtained for the density of states at the Fermi level is 0.5021 states/eV per atom. The total energy comes out at -9.49 eV/cell.

It has space group Pm-3m (No. 221), with a = 6.318 Å, b = 6.318 Å, c = 6.318 Å, α = 90.00°, β = 90.00° and γ = 90.00°. The distinct sites, in fractional coordinates, are Tl at (0.000, 0.000, 0.500), H at (0.500, 0.500, 0.500) and I at (0.000, 0.000, 0.000).

=====

## TlH2I (PBEsol)

Data for TlH2I after structural relaxation.

The calculation puts the magnetization at 0.0000 μB per atom. The value obtained for the density of states at the Fermi level is 0.3099 states/eV per atom. The total energy comes out at -33.10 eV/cell.

It has space group Fm-3m (No. 225), with a = 6.490 Å, b = 6.490 Å, c = 6.490 Å, α = 90.00°, β = 90.00° and γ = 90.00°. The distinct sites, in fractional coordinates, are Tl at (0.000, 0.000, 0.000), H at (0.250, 0.250, 0.250) and I at (0.000, 0.000, 0.500).

=====

## Y3HI (PBEsol)

Data for Y3HI after structural relaxation.

The calculation puts the magnetization at 0.0001 μB per atom. The value obtained for the density of states at the Fermi level is 0.7220 states/eV per atom. The total energy comes out at -26.77 eV/cell.

It has space group Pm-3m (No. 221), with a = 4.796 Å, b = 4.796 Å, c = 4.796 Å, α = 90.00°, β = 90.00° and γ = 90.00°. The distinct sites, in fractional coordinates, are Y at (0.000, 0.000, 0.500), H at (0.000, 0.000, 0.000) and I at (0.500, 0.500, 0.500).

=====

## YZrH2I (PBEsol)

Data for YZrH2I after structural relaxation.

The calculation puts the magnetization at 0.0000 μB per atom. The value obtained for the density of states at the Fermi level is 0.9429 states/eV per atom. The total energy comes out at -19.10 eV/cell.

It has space group P4/mmm (No. 123), with a = 4.194 Å, b = 4.194 Å, c = 6.161 Å, α = 90.00°, β = 90.00° and γ = 90.00°. The distinct sites, in fractional coordinates, are Y at (0.000, 0.000, 0.000), Zr at (0.500, 0.500, 0.000), H at (0.000, 0.500, 0.500) and I at (0.000, 0.000, 0.500).

=====

## ZnHI2 (PBEsol)

Data for ZnHI2 after structural relaxation.

The calculation puts the magnetization at 0.2500 μB per atom. The total energy comes out at -30.84 eV/cell.

It has space group I-42d (No. 122), with a = 6.808 Å, b = 6.808 Å, c = 10.023 Å, α = 90.00°, β = 90.00° and γ = 90.00°. The distinct sites, in fractional coordinates, are Zn at (0.000, 0.000, 0.000), H at (0.000, 0.000, 0.500) and I at (0.225, 0.750, 0.125).